Record 1
A relaxed structure of SrAgHg, computed with PBE.

abc: 4.978 4.978 3.976
angles: 90.00 90.00 120.00
Fractional positions:
Sr 0.000 0.000 0.000
Ag 0.667 0.333 0.500
Hg 0.333 0.667 0.500

Computed properties:
energy of formation from the pure elements = -0.39 eV per atom
space-group type = P-6m2

Record 2
A relaxed structure of La2SiCl, computed with PBE.

abc: 4.300 4.300 5.993
angles: 90.00 90.00 90.00
Fractional positions:
La 0.000 0.000 0.000
La 0.500 0.500 0.500
Si 0.000 0.000 0.500
Cl 0.500 0.500 0.000

Computed properties:
ΔE_f (raw) = -1.232 eV per atom
space-group type = P4/mmm

Record 3
A relaxed structure of CaPmP2Rh5, computed with PBE.

abc: 4.119 4.119 8.899
angles: 90.00 90.00 90.00
Fractional positions:
Ca 0.000 0.000 0.000
Pm 0.000 0.000 0.500
P 0.500 0.500 0.143
P 0.500 0.500 0.857
Rh 0.000 0.500 0.256
Rh 0.000 0.500 0.744
Rh 0.500 0.000 0.256
Rh 0.500 0.000 0.744
Rh 0.500 0.500 0.500

Computed properties:
energy of formation from the pure elements = -0.86 eV per atom
space-group type = P4/mmm

no.,size of the total moment (μB/f.u.),DOS at the Fermi energy (states/eV/atom)
1,0.0,0.72
2,0.0,0.63
3,0.0,0.40